# 1
## Y2VGa5 (PBE)

Data for Y2VGa5 after structural relaxation.

CIF file:
```
data_Y2VGa5
_chemical_formula_sum 'Y4 V2 Ga10'
_cell_length_a 6.391
_cell_length_b 6.391
_cell_length_c 7.542
_cell_angle_alpha 90.00
_cell_angle_beta 90.00
_cell_angle_gamma 90.00
_symmetry_space_group_name_H-M 'I 4 m m'
_symmetry_Int_Tables_number 107
_symmetry_space_group_name_Hall 'I 4 -2'
loop_
_atom_site_label
_atom_site_type_symbol
_atom_site_fract_x
_atom_site_fract_y
_atom_site_fract_z
Y1 Y 0.000 0.500 0.000
V1 V 0.000 0.000 0.125
Ga1 Ga 0.000 0.000 0.470
Ga2 Ga 0.210 0.210 0.753
```

Results
Volume ... 308.0 Å³ per cell
Formation energy ... -0.37 eV per atom
Crystal system ... tetragonal

***

# 2
## Y2VGa2 (PBE)

Data for Y2VGa2 after structural relaxation.

CIF file:
```
data_Y2VGa2
_chemical_formula_sum 'Y4 V2 Ga4'
_cell_length_a 7.299
_cell_length_b 7.299
_cell_length_c 4.170
_cell_angle_alpha 90.00
_cell_angle_beta 90.00
_cell_angle_gamma 90.00
_symmetry_space_group_name_H-M 'P 4/m b m'
_symmetry_Int_Tables_number 127
_symmetry_space_group_name_Hall '-P 4 2ab'
loop_
_atom_site_label
_atom_site_type_symbol
_atom_site_fract_x
_atom_site_fract_y
_atom_site_fract_z
Y1 Y 0.177 0.323 0.000
V1 V 0.000 0.000 0.500
Ga1 Ga 0.126 0.626 0.500
```

Results
Volume ... 222.1 Å³ per cell
Formation energy ... -0.33 eV per atom
Crystal system ... tetragonal

***

# 3
## Y2VGa (PBE)

Data for Y2VGa after structural relaxation.

CIF file:
```
data_Y2VGa
_chemical_formula_sum 'Y8 V4 Ga4'
_cell_length_a 7.975
_cell_length_b 7.975
_cell_length_c 6.062
_cell_angle_alpha 90.00
_cell_angle_beta 90.00
_cell_angle_gamma 90.00
_symmetry_space_group_name_H-M 'I -4 2 d'
_symmetry_Int_Tables_number 122
_symmetry_space_group_name_Hall 'I -4 2bw'
loop_
_atom_site_label
_atom_site_type_symbol
_atom_site_fract_x
_atom_site_fract_y
_atom_site_fract_z
Y1 Y 0.248 0.250 0.125
V1 V 0.000 0.000 0.500
Ga1 Ga 0.000 0.000 0.000
```

Results
Volume ... 385.5 Å³ per cell
Formation energy ... 0.37 eV per atom
Crystal system ... tetragonal

***

# 4
## YV2ZnGa (PBE)

Data for YV2ZnGa after structural relaxation.

CIF file:
```
data_YV2ZnGa
_chemical_formula_sum 'Y1 V2 Zn1 Ga1'
_cell_length_a 4.642
_cell_length_b 4.642
_cell_length_c 5.146
_cell_angle_alpha 90.00
_cell_angle_beta 90.00
_cell_angle_gamma 90.00
_symmetry_space_group_name_H-M 'P 4/m m m'
_symmetry_Int_Tables_number 123
_symmetry_space_group_name_Hall '-P 4 2'
loop_
_atom_site_label
_atom_site_type_symbol
_atom_site_fract_x
_atom_site_fract_y
_atom_site_fract_z
Y1 Y 0.000 0.000 0.000
V1 V 0.000 0.500 0.500
Zn1 Zn 0.000 0.000 0.500
Ga1 Ga 0.500 0.500 0.000
```

Results
Volume ... 110.9 Å³ per cell
Formation energy ... 0.84 eV per atom
Crystal system ... tetragonal

***

# 5
## VZnGa2 (PBE)

Data for VZnGa2 after structural relaxation.

CIF file:
```
data_VZnGa2
_chemical_formula_sum 'V2 Zn2 Ga4'
_cell_length_a 3.680
_cell_length_b 3.680
_cell_length_c 8.675
_cell_angle_alpha 90.00
_cell_angle_beta 90.00
_cell_angle_gamma 90.00
_symmetry_space_group_name_H-M 'I -4 m 2'
_symmetry_Int_Tables_number 119
_symmetry_space_group_name_Hall 'I -4 -2'
loop_
_atom_site_label
_atom_site_type_symbol
_atom_site_fract_x
_atom_site_fract_y
_atom_site_fract_z
V1 V 0.000 0.000 0.000
Zn1 Zn 0.000 0.500 0.250
Ga1 Ga 0.000 0.000 0.500
Ga2 Ga 0.000 0.500 0.750
```

Results
Volume ... 117.5 Å³ per cell
Formation energy ... -0.12 eV per atom
Crystal system ... tetragonal

***

# 6
## VZn3Ga (PBE)

Data for VZn3Ga after structural relaxation.

CIF file:
```
data_VZn3Ga
_chemical_formula_sum 'V1 Zn3 Ga1'
_cell_length_a 4.686
_cell_length_b 4.686
_cell_length_c 4.686
_cell_angle_alpha 90.00
_cell_angle_beta 90.00
_cell_angle_gamma 90.00
_symmetry_space_group_name_H-M 'P m -3 m'
_symmetry_Int_Tables_number 221
_symmetry_space_group_name_Hall '-P 4 2 3'
loop_
_atom_site_label
_atom_site_type_symbol
_atom_site_fract_x
_atom_site_fract_y
_atom_site_fract_z
V1 V 0.000 0.000 0.000
Zn1 Zn 0.000 0.500 0.500
Ga1 Ga 0.500 0.500 0.500
```

Results
Polymorph energy (0 for the lowest one) ... 6 meV per atom
Volume ... 102.9 Å³ per cell
Formation energy ... 0.80 eV per atom
Crystal system ... cubic

***

# 7
## VZn3Ga (PBE)

Data for VZn3Ga after structural relaxation.

CIF file:
```
data_VZn3Ga
_chemical_formula_sum 'V1 Zn3 Ga1'
_cell_length_a 4.954
_cell_length_b 4.954
_cell_length_c 4.954
_cell_angle_alpha 90.00
_cell_angle_beta 90.00
_cell_angle_gamma 90.00
_symmetry_space_group_name_H-M 'P m -3 m'
_symmetry_Int_Tables_number 221
_symmetry_space_group_name_Hall '-P 4 2 3'
loop_
_atom_site_label
_atom_site_type_symbol
_atom_site_fract_x
_atom_site_fract_y
_atom_site_fract_z
V1 V 0.000 0.000 0.000
Zn1 Zn 0.000 0.000 0.500
Ga1 Ga 0.500 0.500 0.500
```

Results
Polymorph energy (0 for the lowest one) ... 0 meV per atom
Volume ... 121.6 Å³ per cell
Formation energy ... 0.79 eV per atom
Crystal system ... cubic

***

# 8
## VZnGa (PBE)

Data for VZnGa after structural relaxation.

CIF file:
```
data_VZnGa
_chemical_formula_sum 'V2 Zn2 Ga2'
_cell_length_a 2.687
_cell_length_b 2.687
_cell_length_c 12.068
_cell_angle_alpha 90.00
_cell_angle_beta 90.00
_cell_angle_gamma 90.00
_symmetry_space_group_name_H-M 'I 4 m m'
_symmetry_Int_Tables_number 107
_symmetry_space_group_name_Hall 'I 4 -2'
loop_
_atom_site_label
_atom_site_type_symbol
_atom_site_fract_x
_atom_site_fract_y
_atom_site_fract_z
V1 V 0.000 0.000 0.000
Zn1 Zn 0.000 0.000 0.338
Ga1 Ga 0.000 0.000 0.660
```

Results
Volume ... 87.2 Å³ per cell
Formation energy ... 0.00 eV per atom
Crystal system ... tetragonal

***

# 9
## VZn8Ga2 (PBE)

Data for VZn8Ga2 after structural relaxation.

CIF file:
```
data_VZn8Ga2
_chemical_formula_sum 'V1 Zn8 Ga2'
_cell_length_a 5.1668
_cell_length_b 5.1668
_cell_length_c 7.6749
_cell_angle_alpha 90.00
_cell_angle_beta 90.00
_cell_angle_gamma 120.00
_symmetry_space_group_name_H-M 'P -3 m 1'
_symmetry_Int_Tables_number 164
_symmetry_space_group_name_Hall '-P 3 2"'
loop_
_atom_site_label
_atom_site_type_symbol
_atom_site_fract_x
_atom_site_fract_y
_atom_site_fract_z
V1 V 0.0000 0.0000 0.0000
Zn1 Zn 0.1651 0.3302 0.3031
Zn2 Zn 0.3333 0.6667 0.5940
Ga1 Ga 0.3333 0.6667 0.9800
```

Results
Volume ... 177.4 Å³ per cell
Formation energy ... 0.10 eV per atom
Crystal system ... trigonal

***

# 10
## VZnGa (PBE)

Data for VZnGa after structural relaxation.

CIF file:
```
data_VZnGa
_chemical_formula_sum 'V1 Zn1 Ga1'
_cell_length_a 4.2580
_cell_length_b 4.2580
_cell_length_c 2.7664
_cell_angle_alpha 90.00
_cell_angle_beta 90.00
_cell_angle_gamma 120.00
_symmetry_space_group_name_H-M 'P -6 m 2'
_symmetry_Int_Tables_number 187
_symmetry_space_group_name_Hall 'P -6 2'
loop_
_atom_site_label
_atom_site_type_symbol
_atom_site_fract_x
_atom_site_fract_y
_atom_site_fract_z
V1 V 0.0000 0.0000 0.0000
Zn1 Zn 0.6667 0.3333 0.5000
Ga1 Ga 0.3333 0.6667 0.5000
```

Results
Volume ... 43.4 Å³ per cell
Formation energy ... -0.03 eV per atom
Crystal system ... hexagonal

***

# 11
## V5Zn2Ga2 (PBE)

Data for V5Zn2Ga2 after structural relaxation.

CIF file:
```
data_V5Zn2Ga2
_chemical_formula_sum 'V10 Zn4 Ga4'
_cell_length_a 12.746
_cell_length_b 4.148
_cell_length_c 5.183
_cell_angle_alpha 90.00
_cell_angle_beta 112.48
_cell_angle_gamma 90.00
_symmetry_space_group_name_H-M 'C 1 2/m 1'
_symmetry_Int_Tables_number 12
loop_
_symmetry_equiv_pos_as_xyz
'x,y,z'
'-x,-y,-z'
'-x,y,-z'
'x,-y,z'
'x+1/2,y+1/2,z'
'-x+1/2,-y+1/2,-z'
'-x+1/2,y+1/2,-z'
'x+1/2,-y+1/2,z'
loop_
_atom_site_label
_atom_site_type_symbol
_atom_site_fract_x
_atom_site_fract_y
_atom_site_fract_z
V1 V 0.000 0.000 0.000
V2 V 0.063 0.500 0.349
V3 V 0.102 0.000 0.640
Zn1 Zn 0.219 0.000 0.312
Ga1 Ga 0.148 0.500 0.966
```

Results
Volume ... 253.2 Å³ per cell
Formation energy ... -0.08 eV per atom
Crystal system ... monoclinic

***

# 12
## VZn2Ga2 (PBE)

Data for VZn2Ga2 after structural relaxation.

CIF file:
```
data_VZn2Ga2
_chemical_formula_sum 'V2 Zn4 Ga4'
_cell_length_a 7.189
_cell_length_b 7.189
_cell_length_c 2.992
_cell_angle_alpha 90.00
_cell_angle_beta 90.00
_cell_angle_gamma 90.00
_symmetry_space_group_name_H-M 'P 4/m b m'
_symmetry_Int_Tables_number 127
_symmetry_space_group_name_Hall '-P 4 2ab'
loop_
_atom_site_label
_atom_site_type_symbol
_atom_site_fract_x
_atom_site_fract_y
_atom_site_fract_z
V1 V 0.000 0.000 0.000
Zn1 Zn 0.124 0.376 0.000
Ga1 Ga 0.178 0.678 0.500
```

Results
Polymorph energy (0 for the lowest one) ... 14 meV per atom
Volume ... 154.7 Å³ per cell
Formation energy ... 0.21 eV per atom
Crystal system ... tetragonal

***

# 13
## V12ZnGa6 (PBE)

Data for V12ZnGa6 after structural relaxation.

CIF file:
```
data_V12ZnGa6
_chemical_formula_sum 'V36 Zn3 Ga18'
_cell_length_a 9.0938
_cell_length_b 9.0938
_cell_length_c 11.2298
_cell_angle_alpha 90.00
_cell_angle_beta 90.00
_cell_angle_gamma 120.00
_symmetry_space_group_name_H-M 'R -3'
_symmetry_Int_Tables_number 148
_symmetry_space_group_name_Hall '-R 3'
loop_
_atom_site_label
_atom_site_type_symbol
_atom_site_fract_x
_atom_site_fract_y
_atom_site_fract_z
V1 V 0.0514 0.1823 0.3010
V2 V 0.0675 0.8477 0.9140
Zn1 Zn 0.0000 0.0000 0.5000
Ga1 Ga 0.0291 0.4394 0.2134
```

Results
Volume ... 804.3 Å³ per cell
Formation energy ... -0.05 eV per atom
Crystal system ... trigonal

***

# 14
## VZnGa (PBE)

Data for VZnGa after structural relaxation.

CIF file:
```
data_VZnGa
_chemical_formula_sum 'V2 Zn2 Ga2'
_cell_length_a 3.250
_cell_length_b 3.282
_cell_length_c 8.274
_cell_angle_alpha 90.00
_cell_angle_beta 90.00
_cell_angle_gamma 90.00
_symmetry_space_group_name_H-M 'P m m n'
_symmetry_Int_Tables_number 59
loop_
_symmetry_equiv_pos_as_xyz
'x,y,z'
'-x,-y,-z'
'-x+1/2,-y+1/2,z'
'x+1/2,y+1/2,-z'
'x+1/2,-y,-z'
'-x+1/2,y,z'
'-x,y+1/2,-z'
'x,-y+1/2,z'
loop_
_atom_site_label
_atom_site_type_symbol
_atom_site_fract_x
_atom_site_fract_y
_atom_site_fract_z
V1 V 0.250 0.250 0.070
Zn1 Zn 0.250 0.250 0.413
Ga1 Ga 0.250 0.250 0.756
```

Results
Volume ... 88.2 Å³ per cell
Formation energy ... -0.08 eV per atom
Crystal system ... orthorhombic

***

# 15
## V6ZnGa2 (PBE)

Data for V6ZnGa2 after structural relaxation.

CIF file:
```
data_V6ZnGa2
_chemical_formula_sum 'V12 Zn2 Ga4'
_cell_length_a 4.376
_cell_length_b 4.991
_cell_length_c 11.997
_cell_angle_alpha 90.00
_cell_angle_beta 90.00
_cell_angle_gamma 90.00
_symmetry_space_group_name_H-M 'I m m m'
_symmetry_Int_Tables_number 71
_symmetry_space_group_name_Hall '-I 2 2'
loop_
_atom_site_label
_atom_site_type_symbol
_atom_site_fract_x
_atom_site_fract_y
_atom_site_fract_z
V1 V 0.000 0.000 0.216
V2 V 0.000 0.256 0.398
Zn1 Zn 0.000 0.000 0.000
Ga1 Ga 0.000 0.500 0.163
```

Results
Polymorph energy (0 for the lowest one) ... 120 meV per atom
Volume ... 262.0 Å³ per cell
Formation energy ... 0.05 eV per atom
Crystal system ... orthorhombic

***

# 16
## V6ZnGa3 (PBE)

Data for V6ZnGa3 after structural relaxation.

CIF file:
```
data_V6ZnGa3
_chemical_formula_sum 'V24 Zn4 Ga12'
_cell_length_a 7.793
_cell_length_b 12.492
_cell_length_c 6.173
_cell_angle_alpha 90.00
_cell_angle_beta 90.00
_cell_angle_gamma 90.00
_symmetry_space_group_name_H-M 'C m c 21'
_symmetry_Int_Tables_number 36
loop_
_symmetry_equiv_pos_as_xyz
'x,y,z'
'-x,-y,z+1/2'
'-x,y,z'
'x,-y,z+1/2'
'x+1/2,y+1/2,z'
'-x+1/2,-y+1/2,z+1/2'
'-x+1/2,y+1/2,z'
'x+1/2,-y+1/2,z+1/2'
loop_
_atom_site_label
_atom_site_type_symbol
_atom_site_fract_x
_atom_site_fract_y
_atom_site_fract_z
V1 V 0.000 0.056 0.000
V2 V 0.000 0.270 0.743
V3 V 0.187 0.427 0.781
V4 V 0.214 0.213 0.011
Zn1 Zn 0.000 0.179 0.339
Ga1 Ga 0.000 0.403 0.399
Ga2 Ga 0.191 0.103 0.659
```

Results
Volume ... 601.0 Å³ per cell
Formation energy ... 0.10 eV per atom
Crystal system ... orthorhombic

***

# 17
## VZnGa2 (PBE)

Data for VZnGa2 after structural relaxation.

CIF file:
```
data_VZnGa2
_chemical_formula_sum 'V4 Zn4 Ga8'
_cell_length_a 6.923
_cell_length_b 6.923
_cell_length_c 5.415
_cell_angle_alpha 90.00
_cell_angle_beta 90.00
_cell_angle_gamma 90.00
_symmetry_space_group_name_H-M 'I -4 2 d'
_symmetry_Int_Tables_number 122
_symmetry_space_group_name_Hall 'I -4 2bw'
loop_
_atom_site_label
_atom_site_type_symbol
_atom_site_fract_x
_atom_site_fract_y
_atom_site_fract_z
V1 V 0.000 0.000 0.000
Zn1 Zn 0.000 0.000 0.500
Ga1 Ga 0.237 0.750 0.625
```

Results
Volume ... 259.5 Å³ per cell
Formation energy ... 0.24 eV per atom
Crystal system ... tetragonal

***

# 18
## VZn2Ga2 (PBE)

Data for VZn2Ga2 after structural relaxation.

CIF file:
```
data_VZn2Ga2
_chemical_formula_sum 'V2 Zn4 Ga4'
_cell_length_a 7.120
_cell_length_b 7.120
_cell_length_c 3.068
_cell_angle_alpha 90.00
_cell_angle_beta 90.00
_cell_angle_gamma 90.00
_symmetry_space_group_name_H-M 'P 4/m b m'
_symmetry_Int_Tables_number 127
_symmetry_space_group_name_Hall '-P 4 2ab'
loop_
_atom_site_label
_atom_site_type_symbol
_atom_site_fract_x
_atom_site_fract_y
_atom_site_fract_z
V1 V 0.000 0.000 0.000
Zn1 Zn 0.155 0.345 0.500
Ga1 Ga 0.146 0.646 0.000
```

Results
Polymorph energy (0 for the lowest one) ... 0 meV per atom
Volume ... 155.5 Å³ per cell
Formation energy ... 0.20 eV per atom
Crystal system ... tetragonal

***

# 19
## VZnGa (PBE)

Data for VZnGa after structural relaxation.

CIF file:
```
data_VZnGa
_chemical_formula_sum 'V4 Zn4 Ga4'
_cell_length_a 2.622
_cell_length_b 13.780
_cell_length_c 5.184
_cell_angle_alpha 90.00
_cell_angle_beta 90.00
_cell_angle_gamma 90.00
_symmetry_space_group_name_H-M 'C m c m'
_symmetry_Int_Tables_number 63
_symmetry_space_group_name_Hall '-C 2c 2'
loop_
_atom_site_label
_atom_site_type_symbol
_atom_site_fract_x
_atom_site_fract_y
_atom_site_fract_z
V1 V 0.000 0.000 0.000
Zn1 Zn 0.000 0.354 0.250
Ga1 Ga 0.000 0.166 0.250
```

Results
Volume ... 187.3 Å³ per cell
Formation energy ... 0.14 eV per atom
Crystal system ... orthorhombic

***

# 20
## VZnGa (PBE)

Data for VZnGa after structural relaxation.

CIF file:
```
data_VZnGa
_chemical_formula_sum 'V4 Zn4 Ga4'
_cell_length_a 18.413
_cell_length_b 3.389
_cell_length_c 2.993
_cell_angle_alpha 90.00
_cell_angle_beta 90.20
_cell_angle_gamma 90.00
_symmetry_space_group_name_H-M 'C 1 2/m 1'
_symmetry_Int_Tables_number 12
loop_
_symmetry_equiv_pos_as_xyz
'x,y,z'
'-x,-y,-z'
'-x,y,-z'
'x,-y,z'
'x+1/2,y+1/2,z'
'-x+1/2,-y+1/2,-z'
'-x+1/2,y+1/2,-z'
'x+1/2,-y+1/2,z'
loop_
_atom_site_label
_atom_site_type_symbol
_atom_site_fract_x
_atom_site_fract_y
_atom_site_fract_z
V1 V 0.216 0.000 0.251
Zn1 Zn 0.057 0.000 0.250
Ga1 Ga 0.141 0.500 0.749
```

Results
Volume ... 186.8 Å³ per cell
Formation energy ... -0.02 eV per atom
Crystal system ... monoclinic